VASP calculation (GGA-PBE) on crystalline SmDyPb2 at its relaxed geometry.

**Space-group type**: Pnma (62)
**V**: 31.2 A^3/atom
**ρ**: 9692 kg/m³
**Energy relative to the elements**: -0.376 eV per atom

POSCAR file:
```
SmDyPb2
1.0
8.055 0.000 0.000
0.000 3.656 0.000
0.000 0.000 16.925
Sm Dy Pb
4 4 8
Direct
0.055 0.250 0.136 Sm
0.445 0.750 0.636 Sm
0.555 0.250 0.364 Sm
0.945 0.750 0.864 Sm
0.047 0.750 0.392 Dy
0.453 0.250 0.892 Dy
0.547 0.750 0.108 Dy
0.953 0.250 0.608 Dy
0.198 0.250 0.753 Pb
0.229 0.750 0.999 Pb
0.271 0.250 0.499 Pb
0.302 0.750 0.253 Pb
0.698 0.250 0.747 Pb
0.729 0.750 0.501 Pb
0.771 0.250 0.001 Pb
0.802 0.750 0.247 Pb
```